# 1
An optimized crystal structure of PmPr3Si3. Source: Alexandria, functional GGA-PBE.

Results
Its space group is No. 12. For the total energy, the calculation gives -75.60 eV for the cell shown. For the total magnetic moment, the calculation gives 0.00 μB/atom. Its density of states at the Fermi level is 0.66 states/eV/atom.

Cell: 7.655 7.655 7.712 Å, 91.27 91.27 114.04°
Sites, in units of the cell vectors:
Si1 0.501 0.842 0.699
Si2 0.943 0.943 0.225
Si3 0.158 0.499 0.301
Si4 0.057 0.057 0.775
Si5 0.842 0.501 0.699
Si6 0.499 0.158 0.301
Pr1 0.226 0.774 0.000
Pr2 0.631 0.631 0.369
Pr3 0.166 0.834 0.500
Pr4 0.774 0.226 0.000
Pr5 0.369 0.369 0.631
Pr6 0.834 0.166 0.500
Pm1 0.747 0.747 0.910
Pm2 0.253 0.253 0.090


# 2
An optimized crystal structure of Pm3Pr2Si4. Source: Alexandria, functional GGA-PBE.

Results
Its space group is No. 14. For the total energy, the calculation gives -103.59 eV for the cell shown. The value obtained for the energy above the most stable polymorph in this dataset is 0.0 meV/atom. For the total magnetic moment, the calculation gives 0.00 μB/atom. Its density of states at the Fermi level is 1.09 states/eV/atom.

Cell: 7.762 7.868 7.928 Å, 90.00 90.00 105.43°
Sites, in units of the cell vectors:
Pm1 0.245 0.759 0.183
Pm2 0.500 0.500 0.000
Pm3 0.755 0.241 0.817
Pm4 0.745 0.759 0.317
Pm5 0.000 0.500 0.500
Pm6 0.255 0.241 0.683
Si1 0.383 0.494 0.385
Si2 0.111 0.918 0.474
Si3 0.117 0.506 0.885
Si4 0.389 0.082 0.974
Si5 0.889 0.082 0.526
Si6 0.617 0.506 0.615
Si7 0.883 0.494 0.115
Si8 0.611 0.918 0.026
Pr1 0.596 0.205 0.317
Pr2 0.096 0.205 0.183
Pr3 0.404 0.795 0.683
Pr4 0.904 0.795 0.817


# 3
An optimized crystal structure of Pm3Pr3Si4. Source: Alexandria, functional GGA-PBE.

Results
Its space group is No. 38. For the total energy, the calculation gives -56.50 eV for the cell shown. For the total magnetic moment, the calculation gives 0.00 μB/atom. Its density of states at the Fermi level is 1.12 states/eV/atom.

Cell: 4.305 7.808 7.808 Å, 90.67 90.00 90.00°
Sites, in units of the cell vectors:
Pm1 0.500 0.326 0.321
Pm2 0.500 0.822 0.178
Pm3 0.500 0.679 0.674
Si1 0.000 0.885 0.893
Si2 0.000 0.394 0.606
Si3 0.000 0.614 0.386
Si4 0.000 0.107 0.115
Pr1 0.000 0.496 0.997
Pr2 0.000 0.003 0.504
Pr3 0.500 0.175 0.825


# 4
An optimized crystal structure of Pm3Pr2Si4. Source: Alexandria, functional GGA-PBE.

Results
Its space group is No. 64. For the total energy, the calculation gives -99.78 eV for the cell shown. The value obtained for the energy above the most stable polymorph in this dataset is 211.6 meV/atom. For the total magnetic moment, the calculation gives 0.00 μB/atom. Its density of states at the Fermi level is 0.59 states/eV/atom.

Cell: 6.986 8.430 8.935 Å, 90.00 113.01 90.00°
Sites, in units of the cell vectors:
Si1 0.687 0.558 0.375
Si2 0.221 0.750 0.942
Si3 0.279 0.250 0.058
Si4 0.187 0.942 0.375
Si5 0.721 0.750 0.942
Si6 0.813 0.058 0.625
Si7 0.779 0.250 0.058
Si8 0.313 0.442 0.625
Pr1 0.394 0.092 0.787
Pr2 0.106 0.592 0.213
Pr3 0.894 0.408 0.787
Pr4 0.606 0.908 0.213
Pm1 0.456 0.250 0.411
Pm2 0.000 0.000 0.000
Pm3 0.044 0.750 0.589
Pm4 0.544 0.750 0.589
Pm5 0.500 0.500 0.000
Pm6 0.956 0.250 0.411


no.,E_form (uncorrected) (eV per formula unit)
1,-2.44
2,-6.29
3,-6.22
4,-4.39